[1]
Density functional theory data (PBE) for a relaxed SmH3C3O6 crystal.

abc: 6.2836 6.2836 6.2836
angles: 115.49 115.49 115.49
Fractional coordinates of all 13 atoms:
Sm: 0.0000 0.0000 0.0000
H: 0.3711 0.3711 0.8556
H: 0.3711 0.8556 0.3711
H: 0.8556 0.3711 0.3711
C: 0.1511 0.6116 0.6116
C: 0.6116 0.1511 0.6116
C: 0.6116 0.6116 0.1511
O: 0.2836 0.8853 0.8853
O: 0.3367 0.5909 0.5909
O: 0.5909 0.3367 0.5909
O: 0.5909 0.5909 0.3367
O: 0.8853 0.2836 0.8853
O: 0.8853 0.8853 0.2836

For the total energy, the calculation gives -6.995 eV per atom. Its calculated volume is 10.19 Å³ per atom. For the total magnetization, the calculation gives 0.00 μB/f.u.

=====

[2]
Density functional theory data (PBE) for a relaxed Sm8HC3O3 crystal.

abc: 7.2168 7.2168 7.2168
angles: 60.35 60.35 60.35
Fractional coordinates of all 15 atoms:
Sm: 0.2498 0.2498 0.2498
Sm: 0.2521 0.2521 0.7424
Sm: 0.2521 0.7424 0.2521
Sm: 0.2576 0.7479 0.7479
Sm: 0.7424 0.2521 0.2521
Sm: 0.7479 0.2576 0.7479
Sm: 0.7479 0.7479 0.2576
Sm: 0.7502 0.7502 0.7502
H: 0.0000 0.0000 0.0000
C: 0.0000 0.5000 0.5000
C: 0.5000 0.0000 0.5000
C: 0.5000 0.5000 0.0000
O: 0.0000 0.0000 0.5000
O: 0.0000 0.5000 0.0000
O: 0.5000 0.0000 0.0000

For the total energy, the calculation gives -6.830 eV per atom. Its calculated volume is 17.86 Å³ per atom. For the total magnetization, the calculation gives 0.00 μB/f.u.

=====

[3]
Density functional theory data (PBE) for a relaxed SmHCO4 crystal.

abc: 4.9398 7.2188 8.6301
angles: 90.00 90.00 90.00
Fractional coordinates of all 28 atoms:
Sm: 0.0117 0.1128 0.3347
Sm: 0.4883 0.8872 0.8347
Sm: 0.5117 0.3872 0.6653
Sm: 0.9883 0.6128 0.1653
H: 0.1282 0.2540 0.0319
H: 0.3718 0.7460 0.5319
H: 0.6282 0.2460 0.9681
H: 0.8718 0.7540 0.4681
C: 0.0043 0.0514 0.6725
C: 0.4957 0.9486 0.1725
C: 0.5043 0.4486 0.3275
C: 0.9957 0.5514 0.8275
O: 0.0015 0.7939 0.3886
O: 0.0151 0.4514 0.7044
O: 0.2092 0.6063 0.9015
O: 0.2425 0.0893 0.6167
O: 0.2575 0.9107 0.1167
O: 0.2908 0.3937 0.4015
O: 0.4849 0.5486 0.2044
O: 0.4985 0.2061 0.8886
O: 0.5015 0.7061 0.6114
O: 0.5151 0.0486 0.2956
O: 0.7092 0.8937 0.0985
O: 0.7425 0.4107 0.3833
O: 0.7575 0.5893 0.8833
O: 0.7908 0.1063 0.5985
O: 0.9849 0.9514 0.7956
O: 0.9985 0.2939 0.1114

For the total energy, the calculation gives -7.460 eV per atom. Its calculated volume is 10.99 Å³ per atom. For the total magnetization, the calculation gives 0.00 μB/f.u.

=====

[4]
Density functional theory data (PBE) for a relaxed SnHC2O3 crystal.

abc: 8.0378 8.0378 8.7577
angles: 120.07 120.07 59.26
Fractional coordinates of all 28 atoms:
Sn: 0.2108 0.7892 0.0000
Sn: 0.2925 0.2925 0.1745
Sn: 0.7075 0.7075 0.8255
Sn: 0.7892 0.2108 0.0000
H: 0.2795 0.4880 0.5549
H: 0.4880 0.2795 0.5549
H: 0.5120 0.7205 0.4451
H: 0.7205 0.5120 0.4451
C: 0.0206 0.2055 0.4648
C: 0.0939 0.2788 0.6706
C: 0.2055 0.0206 0.4648
C: 0.2788 0.0939 0.6706
C: 0.7212 0.9061 0.3294
C: 0.7945 0.9794 0.5352
C: 0.9061 0.7212 0.3294
C: 0.9794 0.7945 0.5352
O: 0.0318 0.4357 0.7985
O: 0.1126 0.1126 0.0591
O: 0.1378 0.7217 0.6574
O: 0.2783 0.8622 0.3426
O: 0.3458 0.3458 0.4771
O: 0.4357 0.0318 0.7985
O: 0.5643 0.9682 0.2015
O: 0.6542 0.6542 0.5229
O: 0.7217 0.1378 0.6574
O: 0.8622 0.2783 0.3426
O: 0.8874 0.8874 0.9409
O: 0.9682 0.5643 0.2015

For the total energy, the calculation gives -6.660 eV per atom. Its calculated volume is 14.19 Å³ per atom. For the total magnetization, the calculation gives 0.00 μB/f.u.

=====

> Which value of calculated volume does entry 4 give?

14.19 Å³ per atom

=====

> Look up the calculated volume of the first one.

10.19 Å³ per atom

=====

Repeat the first record exactly.
Density functional theory data (PBE) for a relaxed SmH3C3O6 crystal.

abc: 6.2836 6.2836 6.2836
angles: 115.49 115.49 115.49
Fractional coordinates of all 13 atoms:
Sm: 0.0000 0.0000 0.0000
H: 0.3711 0.3711 0.8556
H: 0.3711 0.8556 0.3711
H: 0.8556 0.3711 0.3711
C: 0.1511 0.6116 0.6116
C: 0.6116 0.1511 0.6116
C: 0.6116 0.6116 0.1511
O: 0.2836 0.8853 0.8853
O: 0.3367 0.5909 0.5909
O: 0.5909 0.3367 0.5909
O: 0.5909 0.5909 0.3367
O: 0.8853 0.2836 0.8853
O: 0.8853 0.8853 0.2836

For the total energy, the calculation gives -6.995 eV per atom. Its calculated volume is 10.19 Å³ per atom. For the total magnetization, the calculation gives 0.00 μB/f.u.

=====

Repeat the fourth record exactly.
Density functional theory data (PBE) for a relaxed SnHC2O3 crystal.

abc: 8.0378 8.0378 8.7577
angles: 120.07 120.07 59.26
Fractional coordinates of all 28 atoms:
Sn: 0.2108 0.7892 0.0000
Sn: 0.2925 0.2925 0.1745
Sn: 0.7075 0.7075 0.8255
Sn: 0.7892 0.2108 0.0000
H: 0.2795 0.4880 0.5549
H: 0.4880 0.2795 0.5549
H: 0.5120 0.7205 0.4451
H: 0.7205 0.5120 0.4451
C: 0.0206 0.2055 0.4648
C: 0.0939 0.2788 0.6706
C: 0.2055 0.0206 0.4648
C: 0.2788 0.0939 0.6706
C: 0.7212 0.9061 0.3294
C: 0.7945 0.9794 0.5352
C: 0.9061 0.7212 0.3294
C: 0.9794 0.7945 0.5352
O: 0.0318 0.4357 0.7985
O: 0.1126 0.1126 0.0591
O: 0.1378 0.7217 0.6574
O: 0.2783 0.8622 0.3426
O: 0.3458 0.3458 0.4771
O: 0.4357 0.0318 0.7985
O: 0.5643 0.9682 0.2015
O: 0.6542 0.6542 0.5229
O: 0.7217 0.1378 0.6574
O: 0.8622 0.2783 0.3426
O: 0.8874 0.8874 0.9409
O: 0.9682 0.5643 0.2015

For the total energy, the calculation gives -6.660 eV per atom. Its calculated volume is 14.19 Å³ per atom. For the total magnetization, the calculation gives 0.00 μB/f.u.